(1)
A relaxed LiLaAlAu2 crystal, computed with PBE.

abc: 4.2117 4.2117 11.9728
angles: 90.00 90.00 90.00
Last column: nearest neighbours and their distance in Å.
Space group I-4m2 (No. 119)
Inequivalent atoms, fractional coordinates:
Li: 0.0000 0.0000 0.0000 x2  4 Au 2.62
La: 0.0000 0.5000 0.2500 x2  8 Au 3.31, 4 Li 3.66, 4 Al 3.66
Al: 0.0000 0.0000 0.5000 x2  4 Au 2.62
Au: 0.0000 0.5000 0.6299 x4  2 Li 2.62, 2 Al 2.62, 1 Au 2.88

Results
ρ (g/cm3): 8.86
Density of states at the Fermi level (states/eV per cell): 7.6
Energy of formation (eV per atom): -0.678
Magnetization (Bohr magnetons per cell): 0.000
Crystal system: tetragonal



(2)
A relaxed LiLaAl2Au2 crystal, computed with PBE.

abc: 4.4586 4.4586 7.1538
angles: 90.00 90.00 120.00
Last column: nearest neighbours and their distance in Å.
Space group P-3m1 (No. 164)
Inequivalent atoms, fractional coordinates:
Li: 0.0000 0.0000 0.0000 x1  6 Al 2.84, 6 Au 2.98
La: 0.0000 0.0000 0.5000 x1  6 Au 3.31, 6 Al 3.51, 2 Li 3.58
Al: 0.3333 0.6667 0.1673 x2  4 Au 2.59-2.70, 3 Li 2.84
Au: 0.3333 0.6667 0.7899 x2  4 Al 2.59-2.70

Results
ρ (g/cm3): 8.01
Density of states at the Fermi level (states/eV per cell): 4.1
Energy of formation (eV per atom): -0.668
Magnetization (Bohr magnetons per cell): 0.000
Crystal system: trigonal